A:
# PBE-GGA ReNiAs, relaxed
data_ReNiAs
_chemical_formula_sum 'Re2 Ni2 As2'
_space_group_name_H-M_alt 'I 4 m m'
_space_group_IT_number 107
_space_group_name_Hall 'I 4 -2'
_cell_length_a 3.061
_cell_length_b 3.061
_cell_length_c 8.733
_cell_angle_alpha 90.00
_cell_angle_beta 90.00
_cell_angle_gamma 90.00
loop_
_atom_site_label
_atom_site_type_symbol
_atom_site_fract_x
_atom_site_fract_y
_atom_site_fract_z
Re1 Re 0.000 0.000 0.000
Ni1 Ni 0.000 0.000 0.321
As1 As 0.000 0.000 0.667
# Density   13.0 g cm⁻³

---

B:
# PBE-GGA ReNiAs, relaxed
data_ReNiAs
_chemical_formula_sum 'Re1 Ni1 As1'
_space_group_name_H-M_alt 'P 3 m 1'
_space_group_IT_number 156
_cell_length_a 2.8819
_cell_length_b 2.8819
_cell_length_c 5.8952
_cell_angle_alpha 90.00
_cell_angle_beta 90.00
_cell_angle_gamma 120.00
loop_
_space_group_symop_operation_xyz
'x,y,z'
'-y,x-y,z'
'-x+y,-x,z'
'-y,-x,z'
'-x+y,y,z'
'x,x-y,z'
loop_
_atom_site_label
_atom_site_type_symbol
_atom_site_fract_x
_atom_site_fract_y
_atom_site_fract_z
Re1 Re 0.0000 0.0000 0.0000
Ni1 Ni 0.3333 0.6667 0.6563
As1 As 0.6667 0.3333 0.3323
# Density   12.5 g cm⁻³

---

Stability, lowest: A

---

A:
# PBE-GGA ReNiAs, relaxed
data_ReNiAs
_chemical_formula_sum 'Re4 Ni4 As4'
_space_group_name_H-M_alt 'F m m 2'
_space_group_IT_number 42
_space_group_name_Hall 'F 2 -2'
_cell_length_a 3.084
_cell_length_b 4.430
_cell_length_c 12.747
_cell_angle_alpha 90.00
_cell_angle_beta 90.00
_cell_angle_gamma 90.00
loop_
_atom_site_label
_atom_site_type_symbol
_atom_site_fract_x
_atom_site_fract_y
_atom_site_fract_z
Re1 Re 0.000 0.000 0.000
Ni1 Ni 0.000 0.000 0.344
As1 As 0.000 0.000 0.683
# Density   12.2 g cm⁻³

---

B:
# PBE-GGA ReNiAs, relaxed
data_ReNiAs
_chemical_formula_sum 'Re4 Ni4 As4'
_space_group_name_H-M_alt 'A m m 2'
_space_group_IT_number 38
_cell_length_a 12.131
_cell_length_b 2.949
_cell_length_c 5.108
_cell_angle_alpha 90.00
_cell_angle_beta 90.00
_cell_angle_gamma 90.00
loop_
_space_group_symop_operation_xyz
'x,y,z'
'-x,-y,z'
'-x,y,z'
'x,-y,z'
'x,y+1/2,z+1/2'
'-x,-y+1/2,z+1/2'
'-x,y+1/2,z+1/2'
'x,-y+1/2,z+1/2'
loop_
_atom_site_label
_atom_site_type_symbol
_atom_site_fract_x
_atom_site_fract_y
_atom_site_fract_z
Re1 Re 0.163 0.000 0.000
Ni1 Ni 0.000 0.000 0.667
Ni2 Ni 0.500 0.000 0.668
As1 As 0.313 0.000 0.667
# Density   11.6 g cm⁻³

---

Stability, lowest: A

---

A:
# PBE-GGA ReNiAs, relaxed
data_ReNiAs
_chemical_formula_sum 'Re4 Ni4 As4'
_space_group_name_H-M_alt 'F -4 3 m'
_space_group_IT_number 216
_space_group_name_Hall 'F -4 2 3'
_cell_length_a 5.672
_cell_length_b 5.672
_cell_length_c 5.672
_cell_angle_alpha 90.00
_cell_angle_beta 90.00
_cell_angle_gamma 90.00
loop_
_atom_site_label
_atom_site_type_symbol
_atom_site_fract_x
_atom_site_fract_y
_atom_site_fract_z
Re1 Re 0.000 0.000 0.000
Ni1 Ni 0.000 0.000 0.500
As1 As 0.250 0.250 0.250
# Density   11.6 g cm⁻³

---

B:
# PBE-GGA ReNiAs, relaxed
data_ReNiAs
_chemical_formula_sum 'Re4 Ni4 As4'
_space_group_name_H-M_alt 'F -4 3 m'
_space_group_IT_number 216
_space_group_name_Hall 'F -4 2 3'
_cell_length_a 5.808
_cell_length_b 5.808
_cell_length_c 5.808
_cell_angle_alpha 90.00
_cell_angle_beta 90.00
_cell_angle_gamma 90.00
loop_
_atom_site_label
_atom_site_type_symbol
_atom_site_fract_x
_atom_site_fract_y
_atom_site_fract_z
Re1 Re 0.000 0.000 0.000
Ni1 Ni 0.250 0.250 0.750
As1 As 0.250 0.250 0.250
# Density   10.8 g cm⁻³

---

Stability, lowest: B

---

A:
# PBE-GGA ReNi3As, relaxed
data_ReNi3As
_chemical_formula_sum 'Re1 Ni3 As1'
_space_group_name_H-M_alt 'P m -3 m'
_space_group_IT_number 221
_space_group_name_Hall '-P 4 2 3'
_cell_length_a 4.214
_cell_length_b 4.214
_cell_length_c 4.214
_cell_angle_alpha 90.00
_cell_angle_beta 90.00
_cell_angle_gamma 90.00
loop_
_atom_site_label
_atom_site_type_symbol
_atom_site_fract_x
_atom_site_fract_y
_atom_site_fract_z
Re1 Re 0.000 0.000 0.000
Ni1 Ni 0.000 0.500 0.500
As1 As 0.500 0.500 0.500
# Density   9.7 g cm⁻³

---

B:
# PBE-GGA ReNi3As, relaxed
data_ReNi3As
_chemical_formula_sum 'Re1 Ni3 As1'
_space_group_name_H-M_alt 'P m -3 m'
_space_group_IT_number 221
_space_group_name_Hall '-P 4 2 3'
_cell_length_a 4.503
_cell_length_b 4.503
_cell_length_c 4.503
_cell_angle_alpha 90.00
_cell_angle_beta 90.00
_cell_angle_gamma 90.00
loop_
_atom_site_label
_atom_site_type_symbol
_atom_site_fract_x
_atom_site_fract_y
_atom_site_fract_z
Re1 Re 0.000 0.000 0.000
Ni1 Ni 0.000 0.000 0.500
As1 As 0.500 0.500 0.500
# Density   7.9 g cm⁻³

---

Stability, lowest: B

---

A:
# PBE-GGA ReSiNiAs2, relaxed
data_ReSiNiAs2
_chemical_formula_sum 'Re1 Si1 Ni1 As2'
_space_group_name_H-M_alt 'P 4/m m m'
_space_group_IT_number 123
_space_group_name_Hall '-P 4 2'
_cell_length_a 4.703
_cell_length_b 4.703
_cell_length_c 4.134
_cell_angle_alpha 90.00
_cell_angle_beta 90.00
_cell_angle_gamma 90.00
loop_
_atom_site_label
_atom_site_type_symbol
_atom_site_fract_x
_atom_site_fract_y
_atom_site_fract_z
Re1 Re 0.000 0.000 0.000
Si1 Si 0.500 0.500 0.500
Ni1 Ni 0.500 0.500 0.000
As1 As 0.000 0.500 0.500
# Density   7.7 g cm⁻³

---

B:
# PBE-GGA ReSiNiAs2, relaxed
data_ReSiNiAs2
_chemical_formula_sum 'Re1 Si1 Ni1 As2'
_space_group_name_H-M_alt 'P 4/m m m'
_space_group_IT_number 123
_space_group_name_Hall '-P 4 2'
_cell_length_a 4.737
_cell_length_b 4.737
_cell_length_c 4.714
_cell_angle_alpha 90.00
_cell_angle_beta 90.00
_cell_angle_gamma 90.00
loop_
_atom_site_label
_atom_site_type_symbol
_atom_site_fract_x
_atom_site_fract_y
_atom_site_fract_z
Re1 Re 0.000 0.000 0.000
Si1 Si 0.500 0.500 0.500
Ni1 Ni 0.000 0.000 0.500
As1 As 0.000 0.500 0.000
# Density   6.6 g cm⁻³

---

Stability, lowest: A

---

A:
# PBE-GGA Ni2AsRh2, relaxed
data_Ni2AsRh2
_chemical_formula_sum 'Ni4 As2 Rh4'
_space_group_name_H-M_alt 'P 4/m b m'
_space_group_IT_number 127
_space_group_name_Hall '-P 4 2ab'
_cell_length_a 6.212
_cell_length_b 6.212
_cell_length_c 3.771
_cell_angle_alpha 90.00
_cell_angle_beta 90.00
_cell_angle_gamma 90.00
loop_
_atom_site_label
_atom_site_type_symbol
_atom_site_fract_x
_atom_site_fract_y
_atom_site_fract_z
Ni1 Ni 0.142 0.358 0.000
As1 As 0.000 0.000 0.500
Rh1 Rh 0.150 0.650 0.500
# Density   9.1 g cm⁻³

---

B:
# PBE-GGA Ni2AsRh2, relaxed
data_Ni2AsRh2
_chemical_formula_sum 'Ni4 As2 Rh4'
_space_group_name_H-M_alt 'P 4/m b m'
_space_group_IT_number 127
_space_group_name_Hall '-P 4 2ab'
_cell_length_a 5.953
_cell_length_b 5.953
_cell_length_c 3.853
_cell_angle_alpha 90.00
_cell_angle_beta 90.00
_cell_angle_gamma 90.00
loop_
_atom_site_label
_atom_site_type_symbol
_atom_site_fract_x
_atom_site_fract_y
_atom_site_fract_z
Ni1 Ni 0.139 0.361 0.000
As1 As 0.000 0.000 0.000
Rh1 Rh 0.160 0.660 0.500
# Density   9.7 g cm⁻³

---

Stability, lowest: A

---

A:
# PBE-GGA NiAs2Rh3, relaxed
data_NiAs2Rh3
_chemical_formula_sum 'Ni4 As8 Rh12'
_space_group_name_H-M_alt 'I b a m'
_space_group_IT_number 72
_space_group_name_Hall '-I 2 2c'
_cell_length_a 5.227
_cell_length_b 12.457
_cell_length_c 5.318
_cell_angle_alpha 90.00
_cell_angle_beta 90.00
_cell_angle_gamma 90.00
loop_
_atom_site_label
_atom_site_type_symbol
_atom_site_fract_x
_atom_site_fract_y
_atom_site_fract_z
Ni1 Ni 0.000 0.000 0.250
As1 As 0.244 0.126 0.000
Rh1 Rh 0.000 0.500 0.250
Rh2 Rh 0.228 0.184 0.500
# Density   9.9 g cm⁻³

---

B:
# PBE-GGA NiAs2Rh3, relaxed
data_NiAs2Rh3
_chemical_formula_sum 'Ni2 As4 Rh6'
_space_group_name_H-M_alt 'P m c 21'
_space_group_IT_number 26
_cell_length_a 3.916
_cell_length_b 7.454
_cell_length_c 5.921
_cell_angle_alpha 90.00
_cell_angle_beta 90.00
_cell_angle_gamma 90.00
loop_
_space_group_symop_operation_xyz
'x,y,z'
'-x,-y,z+1/2'
'-x,y,z'
'x,-y,z+1/2'
loop_
_atom_site_label
_atom_site_type_symbol
_atom_site_fract_x
_atom_site_fract_y
_atom_site_fract_z
Ni1 Ni 0.000 0.082 0.000
As1 As 0.000 0.361 0.798
As2 As 0.500 0.137 0.271
Rh1 Rh 0.000 0.319 0.386
Rh2 Rh 0.500 0.173 0.682
Rh3 Rh 0.500 0.425 0.063
# Density   9.9 g cm⁻³

---

Stability, lowest: B

---

A:
# PBE-GGA Ni2As2Rh, relaxed
data_Ni2As2Rh
_chemical_formula_sum 'Ni4 As4 Rh2'
_space_group_name_H-M_alt 'P 4/m b m'
_space_group_IT_number 127
_space_group_name_Hall '-P 4 2ab'
_cell_length_a 6.688
_cell_length_b 6.688
_cell_length_c 3.091
_cell_angle_alpha 90.00
_cell_angle_beta 90.00
_cell_angle_gamma 90.00
loop_
_atom_site_label
_atom_site_type_symbol
_atom_site_fract_x
_atom_site_fract_y
_atom_site_fract_z
Ni1 Ni 0.136 0.364 0.000
As1 As 0.158 0.658 0.500
Rh1 Rh 0.000 0.000 0.500
# Density   8.9 g cm⁻³

---

B:
# PBE-GGA Ni2As2Rh, relaxed
data_Ni2As2Rh
_chemical_formula_sum 'Ni4 As4 Rh2'
_space_group_name_H-M_alt 'I 4/m m m'
_space_group_IT_number 139
_space_group_name_Hall '-I 4 2'
_cell_length_a 3.894
_cell_length_b 3.894
_cell_length_c 9.932
_cell_angle_alpha 90.00
_cell_angle_beta 90.00
_cell_angle_gamma 90.00
loop_
_atom_site_label
_atom_site_type_symbol
_atom_site_fract_x
_atom_site_fract_y
_atom_site_fract_z
Ni1 Ni 0.000 0.000 0.116
As1 As 0.000 0.500 0.250
Rh1 Rh 0.000 0.000 0.500
# Density   8.2 g cm⁻³

---

Stability, lowest: B

---

A:
# PBE-GGA NiAs2RhSe, relaxed
data_NiAs2RhSe
_chemical_formula_sum 'Ni1 As2 Rh1 Se1'
_space_group_name_H-M_alt 'P 4/m m m'
_space_group_IT_number 123
_space_group_name_Hall '-P 4 2'
_cell_length_a 4.456
_cell_length_b 4.456
_cell_length_c 4.770
_cell_angle_alpha 90.00
_cell_angle_beta 90.00
_cell_angle_gamma 90.00
loop_
_atom_site_label
_atom_site_type_symbol
_atom_site_fract_x
_atom_site_fract_y
_atom_site_fract_z
Ni1 Ni 0.000 0.000 0.000
As1 As 0.000 0.500 0.000
Rh1 Rh 0.500 0.500 0.500
Se1 Se 0.000 0.000 0.500
# Density   6.8 g cm⁻³

---

B:
# PBE-GGA NiAs2RhSe, relaxed
data_NiAs2RhSe
_chemical_formula_sum 'Ni1 As2 Rh1 Se1'
_space_group_name_H-M_alt 'P 4/m m m'
_space_group_IT_number 123
_space_group_name_Hall '-P 4 2'
_cell_length_a 4.645
_cell_length_b 4.645
_cell_length_c 5.183
_cell_angle_alpha 90.00
_cell_angle_beta 90.00
_cell_angle_gamma 90.00
loop_
_atom_site_label
_atom_site_type_symbol
_atom_site_fract_x
_atom_site_fract_y
_atom_site_fract_z
Ni1 Ni 0.000 0.000 0.000
As1 As 0.000 0.500 0.500
Rh1 Rh 0.500 0.500 0.500
Se1 Se 0.500 0.500 0.000
# Density   5.8 g cm⁻³

---

Stability, lowest: B

---

A:
# PBE-GGA NiAsRhSe2, relaxed
data_NiAsRhSe2
_chemical_formula_sum 'Ni1 As1 Rh1 Se2'
_space_group_name_H-M_alt 'P 4/m m m'
_space_group_IT_number 123
_space_group_name_Hall '-P 4 2'
_cell_length_a 4.690
_cell_length_b 4.690
_cell_length_c 4.396
_cell_angle_alpha 90.00
_cell_angle_beta 90.00
_cell_angle_gamma 90.00
loop_
_atom_site_label
_atom_site_type_symbol
_atom_site_fract_x
_atom_site_fract_y
_atom_site_fract_z
Ni1 Ni 0.000 0.000 0.000
As1 As 0.000 0.000 0.500
Rh1 Rh 0.500 0.500 0.500
Se1 Se 0.000 0.500 0.000
# Density   6.8 g cm⁻³

---

B:
# PBE-GGA NiAsRhSe2, relaxed
data_NiAsRhSe2
_chemical_formula_sum 'Ni1 As1 Rh1 Se2'
_space_group_name_H-M_alt 'P 4/m m m'
_space_group_IT_number 123
_space_group_name_Hall '-P 4 2'
_cell_length_a 5.006
_cell_length_b 5.006
_cell_length_c 4.549
_cell_angle_alpha 90.00
_cell_angle_beta 90.00
_cell_angle_gamma 90.00
loop_
_atom_site_label
_atom_site_type_symbol
_atom_site_fract_x
_atom_site_fract_y
_atom_site_fract_z
Ni1 Ni 0.000 0.000 0.000
As1 As 0.500 0.500 0.000
Rh1 Rh 0.500 0.500 0.500
Se1 Se 0.000 0.500 0.500
# Density   5.7 g cm⁻³

---

Stability, lowest: B

---

A:
# PBE-GGA NiAsRu3, relaxed
data_NiAsRu3
_chemical_formula_sum 'Ni1 As1 Ru3'
_space_group_name_H-M_alt 'P m -3 m'
_space_group_IT_number 221
_space_group_name_Hall '-P 4 2 3'
_cell_length_a 4.473
_cell_length_b 4.473
_cell_length_c 4.473
_cell_angle_alpha 90.00
_cell_angle_beta 90.00
_cell_angle_gamma 90.00
loop_
_atom_site_label
_atom_site_type_symbol
_atom_site_fract_x
_atom_site_fract_y
_atom_site_fract_z
Ni1 Ni 0.000 0.000 0.000
As1 As 0.500 0.500 0.500
Ru1 Ru 0.000 0.500 0.500
# Density   8.1 g cm⁻³

---

B:
# PBE-GGA NiAsRu3, relaxed
data_NiAsRu3
_chemical_formula_sum 'Ni1 As1 Ru3'
_space_group_name_H-M_alt 'P m -3 m'
_space_group_IT_number 221
_space_group_name_Hall '-P 4 2 3'
_cell_length_a 4.441
_cell_length_b 4.441
_cell_length_c 4.441
_cell_angle_alpha 90.00
_cell_angle_beta 90.00
_cell_angle_gamma 90.00
loop_
_atom_site_label
_atom_site_type_symbol
_atom_site_fract_x
_atom_site_fract_y
_atom_site_fract_z
Ni1 Ni 0.000 0.000 0.000
As1 As 0.500 0.500 0.500
Ru1 Ru 0.000 0.000 0.500
# Density   8.3 g cm⁻³

---

Stability, lowest: B

---

A:
# PBE-GGA NiAs3S, relaxed
data_NiAs3S
_chemical_formula_sum 'Ni1 As3 S1'
_space_group_name_H-M_alt 'P m -3 m'
_space_group_IT_number 221
_space_group_name_Hall '-P 4 2 3'
_cell_length_a 4.605
_cell_length_b 4.605
_cell_length_c 4.605
_cell_angle_alpha 90.00
_cell_angle_beta 90.00
_cell_angle_gamma 90.00
loop_
_atom_site_label
_atom_site_type_symbol
_atom_site_fract_x
_atom_site_fract_y
_atom_site_fract_z
Ni1 Ni 0.000 0.000 0.000
As1 As 0.000 0.000 0.500
S1 S 0.500 0.500 0.500
# Density   5.4 g cm⁻³

---

B:
# PBE-GGA NiAs3S, relaxed
data_NiAs3S
_chemical_formula_sum 'Ni1 As3 S1'
_space_group_name_H-M_alt 'P m -3 m'
_space_group_IT_number 221
_space_group_name_Hall '-P 4 2 3'
_cell_length_a 4.712
_cell_length_b 4.712
_cell_length_c 4.712
_cell_angle_alpha 90.00
_cell_angle_beta 90.00
_cell_angle_gamma 90.00
loop_
_atom_site_label
_atom_site_type_symbol
_atom_site_fract_x
_atom_site_fract_y
_atom_site_fract_z
Ni1 Ni 0.000 0.000 0.000
As1 As 0.000 0.500 0.500
S1 S 0.500 0.500 0.500
# Density   5.0 g cm⁻³

---

Stability, lowest: B